Li2NiP4O12 | PBE with a Hubbard U | optimized geometry

Output
size of the total moment: 3.89 μB per cell
E: -6.69 eV per atom

Lattice parameters (Å, degrees): 7.389 9.151 8.597 90.00 124.00 90.00
Space group P2_1/c (No. 14)
Asymmetric unit:
Li  0.189  0.161  0.302
Ni  0.000  0.000  0.500
P  0.230  0.704  0.392
P  0.472  0.588  0.778
O  0.080  0.700  0.915
O  0.111  0.575  0.266
O  0.288  0.102  0.569
O  0.350  0.714  0.814
O  0.359  0.055  0.242
O  0.442  0.650  0.589